No. 1
Here is a geometry-optimized RbSiH structure from the Alexandria database. Energies are from PBE.

Unit cell a=6.137 b=3.924 c=12.625 alpha=90.00 beta=114.74 gamma=90.00
Positions (direct):
Rb 0.014 0.000 0.464
Rb 0.014 0.500 0.964
Rb 0.657 0.000 0.643
Rb 0.657 0.500 0.143
Si 0.446 0.000 0.866
Si 0.446 0.500 0.366
Si 0.271 0.000 0.251
Si 0.271 0.500 0.751
H 0.370 0.000 0.971
H 0.370 0.500 0.471
H 0.001 0.000 0.232
H 0.001 0.500 0.732

* excess energy over the best structure of this formula in the dataset: 0 meV/atom
* total moment: 0.00 μB/f.u.
* VASP energy: -3.338 eV/atom
* symmetry: Cm, No. 8


No. 2
Here is a geometry-optimized Rb2SiH6 structure from the Alexandria database. Energies are from PBE.

Unit cell a=4.636 b=5.545 c=5.545 alpha=60.05 beta=89.90 gamma=89.90
Positions (direct):
Rb 0.726 0.667 0.667
Rb 0.274 0.333 0.333
Si 0.000 0.000 0.000
H 0.198 0.277 0.861
H 0.198 0.861 0.861
H 0.198 0.861 0.277
H 0.802 0.723 0.139
H 0.802 0.139 0.139
H 0.802 0.139 0.723

* excess energy over the best structure of this formula in the dataset: 0 meV/atom
* total moment: 0.00 μB/f.u.
* VASP energy: -3.224 eV/atom
* symmetry: C2/m, No. 12


No. 3
Here is a geometry-optimized RbSi2H6 structure from the Alexandria database. Energies are from PBE.

Unit cell a=6.842 b=7.304 c=7.304 alpha=79.40 beta=58.70 gamma=58.70
Positions (direct):
Rb 0.250 0.175 0.825
Rb 0.750 0.825 0.175
Si 0.336 0.660 0.652
Si 0.164 0.348 0.340
Si 0.664 0.340 0.348
Si 0.836 0.652 0.660
H 0.576 0.691 0.612
H 0.924 0.388 0.309
H 0.424 0.309 0.388
H 0.076 0.612 0.691
H 0.826 0.848 0.541
H 0.674 0.459 0.152
H 0.174 0.152 0.459
H 0.326 0.541 0.848
H 0.111 0.891 0.774
H 0.389 0.226 0.109
H 0.889 0.109 0.226
H 0.611 0.774 0.891

* total moment: 0.00 μB/f.u.
* VASP energy: -3.506 eV/atom
* symmetry: C2/c, No. 15


No. 4
Here is a geometry-optimized RbSiH structure from the Alexandria database. Energies are from PBE.

Unit cell a=7.767 b=7.431 c=7.075 alpha=90.00 beta=109.22 gamma=90.00
Positions (direct):
Rb 0.500 0.436 0.500
Rb 0.500 0.936 0.000
Rb 0.000 0.178 0.000
Rb 0.000 0.678 0.500
Si 0.651 0.449 0.086
Si 0.349 0.449 0.914
Si 0.651 0.949 0.586
Si 0.349 0.949 0.414
H 0.719 0.950 0.402
H 0.281 0.950 0.598
H 0.719 0.450 0.902
H 0.281 0.450 0.098

* excess energy over the best structure of this formula in the dataset: 128 meV/atom
* total moment: 0.00 μB/f.u.
* VASP energy: -3.210 eV/atom
* symmetry: C2, No. 5